(1)
Entry from Alexandria via LeMat-Bulk: an optimized crystal structure of Cd2HgN (PBE).

Results
D(E_F) (states/eV/f.u.): 1.890
ΔE_f (raw) (eV per atom): 0.4177
Space-group type: I-42d
Crystal system: tetragonal

The structure in POSCAR format:
```
Cd2HgN
1.0
-6.2789 0.3317 -1.0570
-1.0576 0.0160 6.2875
-3.4082 5.1946 2.6463
N Hg Cd
2 2 4
direct
0.5000 0.5000 0.0000 N
0.2500 0.7500 0.5000 N
0.0000 0.0000 0.0000 Hg
0.7500 0.2500 0.5000 Hg
0.4909 0.1250 0.2500 Cd
0.2591 0.6250 0.2500 Cd
0.3750 0.5091 0.7500 Cd
0.8750 0.7409 0.7500 Cd
```


(2)
Entry from Alexandria via LeMat-Bulk: an optimized crystal structure of ZnSbPd4 (PBE).

Results
D(E_F) (states/eV/f.u.): 2.885
ΔE_f (raw) (eV per atom): -0.3727
Space-group type: P2_1/c
Crystal system: monoclinic

The structure in POSCAR format:
```
ZnSbPd4
1.0
0.4507 -2.5291 4.3625
2.6555 -6.3282 -3.9430
4.7319 0.7527 1.9789
Zn Sb Pd
2 2 8
direct
0.5000 0.0000 0.5000 Zn
0.0000 0.5000 0.5000 Zn
0.0000 0.0000 0.0000 Sb
0.5000 0.5000 0.0000 Sb
0.9176 0.6639 0.0982 Pd
0.5824 0.1639 0.9018 Pd
0.5867 0.3347 0.4085 Pd
0.9133 0.8347 0.5915 Pd
0.0824 0.3361 0.9018 Pd
0.4176 0.8361 0.0982 Pd
0.4133 0.6653 0.5915 Pd
0.0867 0.1653 0.4085 Pd
```


(3)
Entry from Alexandria via LeMat-Bulk: an optimized crystal structure of Hg5Bi2H4 (PBE).

Results
D(E_F) (states/eV/f.u.): 0.809
Space-group type: P-1
Final energy (eV per atom): -1.825
Crystal system: triclinic

The structure in POSCAR format:
```
Hg5Bi2H4
1.0
4.4791 -0.0159 -0.5532
-0.7021 9.0321 -2.5085
-2.6983 -2.1332 7.6048
Hg Bi H
5 2 4
direct
0.7180 0.9426 0.6548 Hg
0.2820 0.0574 0.3452 Hg
0.7667 0.4452 0.5962 Hg
0.5000 0.0000 0.0000 Hg
0.2333 0.5548 0.4038 Hg
0.7259 0.6793 0.1795 Bi
0.2741 0.3207 0.8205 Bi
0.6339 0.2124 0.1377 H
0.0221 0.3378 0.9509 H
0.3661 0.7876 0.8623 H
0.9779 0.6622 0.0491 H
```


(4)
Entry from Alexandria via LeMat-Bulk: an optimized crystal structure of CsAlPd3 (PBE).

Results
D(E_F) (states/eV/f.u.): 2.651
Space-group type: Pm-3m
Energy of formation from the pure elements (kJ/mol of formula units): 11
Crystal system: cubic

The structure in POSCAR format:
```
CsAlPd3
1.0
-4.4502 1.7411 0.9929
-1.8543 -2.6587 -3.6489
-0.7608 -3.7043 3.0856
Cs Al Pd
1 1 3
direct
0.5000 0.5000 0.5000 Cs
0.0000 0.0000 0.0000 Al
0.0000 0.5000 0.0000 Pd
0.0000 0.0000 0.5000 Pd
0.5000 0.0000 0.0000 Pd
```


(5)
Entry from Alexandria via LeMat-Bulk: an optimized crystal structure of MgGa2Pt2 (PBE).

Results
D(E_F) (states/eV/f.u.): 1.581
Space-group type: I4/mmm
Energy of formation from the pure elements (kJ/mol of formula units): -241
Crystal system: tetragonal

The structure in POSCAR format:
```
MgGa2Pt2
1.0
-0.0508 4.0009 0.8046
-3.1785 -0.5435 2.5018
1.7667 0.9421 5.7784
Mg Ga Pt
1 2 2
direct
0.0000 0.0000 0.0000 Mg
0.3879 0.3879 0.2243 Ga
0.6121 0.6121 0.7757 Ga
0.7500 0.2500 0.5000 Pt
0.2500 0.7500 0.5000 Pt
```


(6)
Entry from Alexandria via LeMat-Bulk: an optimized crystal structure of LiCdPt2 (PBE).

Results
D(E_F) (states/eV/f.u.): 1.936
Space-group type: I4/mmm
Energy of formation from the pure elements (kJ/mol of formula units): -174
Crystal system: tetragonal

The structure in POSCAR format:
```
LiCdPt2
1.0
-2.3429 3.6855 -2.2189
-4.6841 0.0803 1.4314
4.1970 -0.1628 2.5209
Li Pt Cd
1 2 1
direct
0.2500 0.7500 0.5000 Li
0.0002 0.0002 0.0000 Pt
0.4998 0.4998 0.0000 Pt
0.7500 0.2500 0.5000 Cd
```


(7)
Entry from Alexandria via LeMat-Bulk: an optimized crystal structure of BaZrSb2 (PBE).

Results
D(E_F) (states/eV/f.u.): 0.964
ΔE_f (raw) (eV per atom): -0.7944
Space-group type: R-3m
Crystal system: trigonal

The structure in POSCAR format:
```
BaZrSb2
1.0
-2.6294 2.6883 2.2451
-4.0916 -1.2322 0.9598
0.3114 -2.6873 7.8426
Sb Ba Zr
2 1 1
direct
0.9837 0.9837 0.0486 Sb
0.5163 0.5163 0.4514 Sb
0.7500 0.7500 0.7500 Ba
0.2500 0.2500 0.2500 Zr
```


(8)
Entry from Alexandria via LeMat-Bulk: an optimized crystal structure of UPt6Rh (PBE).

Results
D(E_F) (states/eV/f.u.): 10.536
Space-group type: P4/mmm
Energy of formation from the pure elements (kJ/mol of formula units): -304
Crystal system: tetragonal

The structure in POSCAR format:
```
UPt6Rh
1.0
-1.0014 -2.1495 -3.2733
5.2739 -2.2123 -0.1607
-1.7062 -4.3107 3.3527
U Pt Rh
1 6 1
direct
0.5000 0.0000 0.0000 U
0.0000 0.7481 0.2519 Pt
0.0000 0.2519 0.7481 Pt
0.0000 0.7482 0.7482 Pt
0.0000 0.2518 0.2518 Pt
0.5000 0.5000 0.0000 Pt
0.5000 0.0000 0.5000 Pt
0.5000 0.5000 0.5000 Rh
```


(9)
Entry from Alexandria via LeMat-Bulk: an optimized crystal structure of MgMnBi2N (PBE).

Results
D(E_F) (states/eV/f.u.): 3.924
ΔE_f (raw) (eV per atom): 1.2135
Space-group type: P4/mmm
Crystal system: tetragonal

The structure in POSCAR format:
```
MgMnBi2N
1.0
4.9635 0.0000 0.0000
0.0000 5.0086 0.0000
0.0000 0.0000 4.9635
Mg Mn Bi N
1 1 2 1
direct
0.0000 0.5000 0.0000 Mg
0.0000 0.0000 0.0000 Mn
0.0000 0.0000 0.5000 Bi
0.5000 0.0000 0.0000 Bi
0.5000 0.5000 0.5000 N
```


(10)
Entry from Alexandria via LeMat-Bulk: an optimized crystal structure of Zr2CoAu (PBE).

Results
D(E_F) (states/eV/f.u.): 4.105
Space-group type: I-4m2
Energy of formation from the pure elements (kJ/mol of formula units): -75
Crystal system: tetragonal

The structure in POSCAR format:
```
Zr2CoAu
1.0
-5.0812 -0.0911 -1.3751
-2.2898 -4.7206 0.4357
2.9477 3.0117 3.1557
Au Co Zr
1 1 2
direct
0.5000 0.5000 0.0000 Au
0.7500 0.2500 0.5000 Co
0.0000 0.0000 0.0000 Zr
0.2500 0.7500 0.5000 Zr
```


(11)
Entry from Alexandria via LeMat-Bulk: an optimized crystal structure of Th2SeN (PBE).

Results
D(E_F) (states/eV/f.u.): 4.037
ΔE_f (raw) (eV per atom): -1.4633
Space-group type: R3m
Crystal system: trigonal

The structure in POSCAR format:
```
Th2SeN
1.0
3.7486 0.0000 0.0000
1.8743 3.2464 0.0000
1.8743 1.0821 7.1708
Th Se N
2 1 1
direct
0.0668 0.0668 0.7996 Th
0.2678 0.2678 0.1967 Th
0.4993 0.4993 0.5020 Se
0.6661 0.6661 0.0018 N
```


(12)
Entry from Alexandria via LeMat-Bulk: an optimized crystal structure of Pm3CuTe6 (PBE).

Results
D(E_F) (states/eV/f.u.): 3.883
ΔE_f (raw) (eV per atom): -1.0128
Space-group type: Cmc2_1
Crystal system: orthorhombic

The structure in POSCAR format:
```
Pm3CuTe6
1.0
-7.0908 -1.1524 -2.4825
-0.8546 -7.2671 5.8147
-3.1375 6.4894 5.9493
Pm Cu Te
6 2 12
direct
0.4834 0.9210 0.7285 Pm
0.9834 0.7285 0.9210 Pm
0.3814 0.3943 0.6057 Pm
0.8814 0.6057 0.3943 Pm
0.9834 0.0790 0.2715 Pm
0.4834 0.2715 0.0790 Pm
0.0289 0.2143 0.7857 Cu
0.5289 0.7857 0.2143 Cu
0.1851 0.7002 0.6230 Te
0.6851 0.6230 0.7002 Te
0.1897 0.4356 0.9093 Te
0.6897 0.9093 0.4356 Te
0.1770 0.0410 0.9590 Te
0.6819 0.2213 0.7787 Te
0.1819 0.7787 0.2213 Te
0.6770 0.9590 0.0410 Te
0.1897 0.0907 0.5644 Te
0.6897 0.5644 0.0907 Te
0.1851 0.3770 0.2998 Te
0.6851 0.2998 0.3770 Te
```


(13)
Entry from Alexandria via LeMat-Bulk: an optimized crystal structure of SrTl6Sb2 (PBE).

Results
D(E_F) (states/eV/f.u.): 5.056
ΔE_f (raw) (eV per atom): -0.1834
Space-group type: P4/mmm
Crystal system: tetragonal

The structure in POSCAR format:
```
SrTl6Sb2
1.0
-3.7699 -2.3260 -1.6214
2.8174 -2.7694 -2.5777
0.8921 -8.4660 10.0709
Sr Tl Sb
1 6 2
direct
0.0000 0.0000 0.0000 Sr
0.0000 0.5000 0.2883 Tl
0.5000 0.0000 0.2883 Tl
0.0000 0.5000 0.7117 Tl
0.5000 0.0000 0.7117 Tl
0.5000 0.5000 0.5000 Tl
0.0000 0.0000 0.5000 Tl
0.5000 0.5000 0.1103 Sb
0.5000 0.5000 0.8897 Sb
```